# 1
VNi3Pt4: optimized geometry, GGA-PBE.

Cell and atoms, written as POSCAR:
```
VNi3Pt4
1.0
-3.1479 -2.0721 0.8223
-0.4529 -0.7967 -3.7414
6.4013 -3.7635 5.9742
V Ni Pt
1 3 4
Cartesian
-1.5740 -1.0361 0.4112
-0.2265 -0.3984 -1.8707
2.2826 -2.5734 2.2538
0.5178 -4.0590 0.8013
-0.7762 -2.9147 -1.2687
3.5766 -3.7176 4.3237
1.7762 -5.1521 2.8642
1.0242 -1.4802 0.1909
```

Values from the calculation:
Formation enthalpy at 0 K: -0.2917 eV/atom
DOS at the Fermi energy: 10.38 states/eV/f.u.
Calculated total energy: -52.960 eV per cell



# 2
Fe2CoNi5: optimized geometry, GGA-PBE.

Cell and atoms, written as POSCAR:
```
Fe2CoNi5
1.0
3.5308 0.0000 0.0000
0.0000 5.0163 0.0000
0.0000 0.0000 10.0368
Fe Co Ni
4 2 10
Cartesian
1.7654 1.2282 6.2593
1.7654 3.7881 3.7775
1.7654 1.2800 1.2409
1.7654 3.7364 8.7958
0.0000 0.0000 5.0184
0.0000 2.5082 0.0000
0.0000 0.0000 0.0000
0.0000 2.5082 5.0184
0.0000 2.4811 7.5324
0.0000 2.5353 2.5043
0.0000 0.0271 2.5140
0.0000 4.9892 7.5227
1.7654 1.2355 8.7798
1.7654 3.7808 1.2570
1.7654 1.2726 3.7614
1.7654 3.7437 6.2754
```

Values from the calculation:
Formation enthalpy at 0 K: -0.0829 eV/atom
DOS at the Fermi energy: 5.37 states/eV/f.u.
Calculated total energy: -107.203 eV per cell



# 3
DyHoCrCd: optimized geometry, GGA-PBE.

Cell and atoms, written as POSCAR:
```
DyHoCrCd
1.0
-4.1440 -1.4628 -2.7221
0.5204 -1.3974 -4.9496
-0.5811 -4.9527 -1.3622
Cr Cd Ho Dy
1 1 1 1
Cartesian
-3.1535 -5.8597 -6.7755
-1.0512 -1.9532 -2.2585
-2.1024 -3.9064 -4.5170
0.0000 0.0000 0.0000
```

Values from the calculation:
Formation enthalpy at 0 K: 0.0296 eV/atom
DOS at the Fermi energy: 1.86 states/eV/f.u.
Calculated total energy: -19.600 eV per cell



# 4
Pm2Y2N3: optimized geometry, GGA-PBE.

Cell and atoms, written as POSCAR:
```
Pm2Y2N3
1.0
3.5595 0.0000 -1.0272
-0.5588 6.2186 -1.9364
-0.1006 1.1397 6.3320
Pm Y N
2 2 3
Cartesian
0.0164 5.6496 0.0568
2.8836 1.7087 3.3115
0.9679 4.7782 3.3539
1.9321 2.5801 0.0144
-0.2794 3.1093 -0.9682
2.2643 0.7618 1.1656
0.6357 6.5965 2.2028
```

Values from the calculation:
DOS at the Fermi energy: 3.64 states/eV/f.u.
Calculated total energy: -54.773 eV per cell
Formation energy (no corrections): -1.052 eV per atom



# 5
Ba3PrGe2O8: optimized geometry, GGA-PBE.

Cell and atoms, written as POSCAR:
```
Ba3PrGe2O8
1.0
5.9840 0.0000 0.0000
-2.9920 5.1823 0.0000
0.0000 0.0000 8.0113
Ba Pr Ge O
3 1 2 8
Cartesian
0.0000 3.4548 5.5016
2.9920 1.7274 2.5097
0.0000 0.0000 0.0000
0.0000 0.0000 4.0057
0.0000 3.4548 1.6999
2.9920 1.7274 6.3114
0.0000 3.4548 7.9708
2.9920 1.7274 0.0405
-1.4408 4.2867 2.3832
4.4328 0.8955 5.6281
0.0000 1.7911 2.3832
2.9920 3.3912 5.6281
1.4409 4.2867 2.3832
1.5511 0.8955 5.6281
```

Values from the calculation:
DOS at the Fermi energy: 3.60 states/eV/f.u.
Calculated total energy: -92.414 eV per cell
Formation energy (no corrections): -2.355 eV per atom



# 6
BeGaSbI2: optimized geometry, GGA-PBE.

Cell and atoms, written as POSCAR:
```
BeGaSbI2
1.0
-1.8775 4.7070 -2.4565
1.6788 -1.9456 -5.0111
-4.9048 -2.3398 -0.7347
I Sb Ga Be
2 1 1 1
Cartesian
0.8394 -0.9728 -2.5056
-0.9387 2.3535 -1.2283
-2.4524 -1.1699 -0.3673
0.0000 0.0000 0.0000
-2.5517 0.2108 -4.1012
```

Values from the calculation:
Energy above the most stable polymorph in this dataset: 533.8 meV per atom
DOS at the Fermi energy: 2.59 states/eV/f.u.
Calculated total energy: -10.082 eV per cell
Formation energy (no corrections): 0.779 eV per atom